(1)
Below is a geometry-optimized YFe3W structure, with properties calculated at the PBE-GGA level.

a b c (Å): 4.534 4.534 4.534
angles (deg): 90.00 90.00 90.00
Last column: magnetic moment on the atom in μB.
Atoms (fractional coordinates):
1 Fe 0.000 0.500 0.000  1.67
2 Fe 0.000 0.000 0.500  1.51
3 Y 0.500 0.500 0.500  -0.15
4 Fe 0.500 0.000 0.000  1.33
5 W 0.000 0.000 0.000  -0.44

Computed properties:
- energy of formation (eV per atom) = 0.884
- total energy (eV for the cell shown) = -40.4
- total magnetic moment (μB per formula unit) = 3.73
- D(E_F) (states/eV per cell) = 10.41
- E above lowest polymorph (meV/atom) = 0.0

***

(2)
Below is a geometry-optimized LiMg2Ag8 structure, with properties calculated at the PBE-GGA level.

a b c (Å): 4.598 7.275 7.397
angles (deg): 119.48 107.04 89.99
Atoms (fractional coordinates):
1 Mg 0.495 0.343 0.621
2 Ag 0.489 0.745 0.613
3 Ag 0.935 0.488 0.503
4 Ag 0.338 0.895 0.315
5 Li 0.136 0.866 0.908
6 Ag 0.283 0.310 0.202
7 Ag 0.137 0.475 0.910
8 Mg 0.779 0.630 0.199
9 Ag 0.990 0.018 0.616
10 Ag 0.636 0.191 0.909
11 Ag 0.783 0.040 0.204

Computed properties:
- energy of formation (eV per atom) = -0.093
- total energy (eV for the cell shown) = -28.9
- total magnetic moment (μB per formula unit) = 0.00
- D(E_F) (states/eV per cell) = 2.86
- E above lowest polymorph (meV/atom) = 0.0

***

(3)
Below is a geometry-optimized Tb3PmNdHo structure, with properties calculated at the PBE-GGA level.

a b c (Å): 5.075 8.032 10.156
angles (deg): 90.00 90.00 108.47
Atoms (fractional coordinates):
1 Tb 0.168 0.336 0.750
2 Pm 0.500 0.000 0.750
3 Pm 0.500 0.000 0.250
4 Tb 0.668 0.336 0.000
5 Tb 0.332 0.664 0.500
6 Nd 0.000 0.000 0.500
7 Nd 0.000 0.000 0.000
8 Tb 0.832 0.664 0.250
9 Ho 0.168 0.336 0.250
10 Tb 0.668 0.336 0.500
11 Ho 0.832 0.664 0.750
12 Tb 0.332 0.664 0.000

Computed properties:
- energy of formation (eV per atom) = 0.018
- total energy (eV for the cell shown) = -55.8
- total magnetic moment (μB per formula unit) = 0.00
- D(E_F) (states/eV per cell) = 17.00

***

(4)
Below is a geometry-optimized Er3Cd4Cu2 structure, with properties calculated at the PBE-GGA level.

a b c (Å): 4.708 5.970 8.141
angles (deg): 75.23 73.19 66.78
Atoms (fractional coordinates):
1 Er 0.320 0.720 0.641
2 Er 0.000 0.000 0.000
3 Cd 0.287 0.368 0.057
4 Cu 0.409 0.922 0.261
5 Cd 0.032 0.300 0.637
6 Cu 0.591 0.078 0.739
7 Er 0.680 0.280 0.359
8 Cd 0.713 0.632 0.943
9 Cd 0.968 0.700 0.363

Computed properties:
- energy of formation (eV per atom) = -0.234
- total energy (eV for the cell shown) = -27.6
- total magnetic moment (μB per formula unit) = 0.00
- D(E_F) (states/eV per cell) = 6.21

***

(5)
Below is a geometry-optimized Eu2HgPt structure, with properties calculated at the PBE-GGA level.

a b c (Å): 4.184 4.184 10.234
angles (deg): 78.21 78.21 60.00
Last column: magnetic moment on the atom in μB.
Atoms (fractional coordinates):
1 Eu 0.888 0.888 0.337  6.86
2 Hg 0.000 0.000 0.000  0.04
3 Pt 0.500 0.500 0.500  -0.07
4 Eu 0.112 0.112 0.663  6.86

Computed properties:
- energy of formation (eV per atom) = -0.478
- total energy (eV for the cell shown) = -28.8
- total magnetic moment (μB per formula unit) = 14.47
- D(E_F) (states/eV per cell) = 23.04
- E above lowest polymorph (meV/atom) = 257.9

***

(6)
Below is a geometry-optimized LiB2PO6 structure, with properties calculated at the PBE-GGA level.

a b c (Å): 4.583 6.666 6.666
angles (deg): 94.42 72.82 72.82
Atoms (fractional coordinates):
1 B 0.844 0.700 0.845
2 O 0.048 0.520 0.275
3 O 0.898 0.218 0.149
4 O 0.342 0.313 0.916
5 O 0.102 0.782 0.851
6 P 0.750 0.712 0.288
7 Li 0.750 0.098 0.902
8 O 0.602 0.851 0.782
9 O 0.842 0.916 0.313
10 O 0.548 0.275 0.520
11 O 0.452 0.725 0.480
12 B 0.156 0.300 0.155
13 P 0.250 0.288 0.712
14 O 0.398 0.149 0.218
15 B 0.344 0.845 0.700
16 Li 0.250 0.902 0.098
17 B 0.656 0.155 0.300
18 O 0.158 0.084 0.687
19 O 0.952 0.480 0.725
20 O 0.658 0.687 0.084

Computed properties:
- formation energy from raw total energies (kJ/mol of formula units) = -2222.9
- total energy (eV for the cell shown) = -146.9
- total magnetic moment (μB per formula unit) = 0.00
- D(E_F) (states/eV per cell) = 0.00

***

(7)
Below is a geometry-optimized LaTlSnBi structure, with properties calculated at the PBE-GGA level.

a b c (Å): 4.858 4.990 4.910
angles (deg): 90.00 90.00 90.00
Atoms (fractional coordinates):
1 Bi 0.500 0.000 0.500
2 Sn 0.500 0.500 0.000
3 La 0.000 0.000 0.000
4 Tl 0.000 0.500 0.500

Computed properties:
- energy of formation (eV per atom) = -0.519
- total energy (eV for the cell shown) = -17.3
- total magnetic moment (μB per formula unit) = 0.00
- D(E_F) (states/eV per cell) = 1.92

***

(8)
Below is a geometry-optimized BaCu3Ir structure, with properties calculated at the PBE-GGA level.

a b c (Å): 5.099 5.099 5.099
angles (deg): 90.00 90.00 90.00
Last column: magnetic moment on the atom in μB.
Atoms (fractional coordinates):
1 Ir 0.500 0.500 0.500  1.53
2 Cu 0.000 0.000 0.500  0.08
3 Cu 0.000 0.500 0.000  0.05
4 Cu 0.500 0.000 0.000  -0.01
5 Ba 0.000 0.000 0.000  0.04

Computed properties:
- energy of formation (eV per atom) = 2.248
- total energy (eV for the cell shown) = -11.8
- total magnetic moment (μB per formula unit) = 1.83
- D(E_F) (states/eV per cell) = 4.25
- E above lowest polymorph (meV/atom) = 2206.4

***

(9)
Below is a geometry-optimized AcPmSbSe structure, with properties calculated at the PBE-GGA level.

a b c (Å): 5.496 5.496 5.496
angles (deg): 60.00 60.00 60.00
Last column: magnetic moment on the atom in μB.
Atoms (fractional coordinates):
1 Ac 0.250 0.250 0.250  0.07
2 Sb 0.000 0.000 0.000  -0.01
3 Pm 0.750 0.750 0.750  0.14
4 Se 0.500 0.500 0.500  0.00

Computed properties:
- formation energy from raw total energies (kJ/mol of formula units) = -486.1
- total energy (eV for the cell shown) = -21.5
- total magnetic moment (μB per formula unit) = 0.44
- D(E_F) (states/eV per cell) = 2.96
- E above lowest polymorph (meV/atom) = 0.0

***

(10)
Below is a geometry-optimized LaCuTc2 structure, with properties calculated at the PBE-GGA level.

a b c (Å): 9.991 9.991 9.991
angles (deg): 16.41 16.41 16.41
Atoms (fractional coordinates):
1 Tc 0.987 0.987 0.987
2 Cu 0.250 0.250 0.250
3 Tc 0.513 0.513 0.513
4 La 0.750 0.750 0.750

Computed properties:
- energy of formation (eV per atom) = 0.778
- total energy (eV for the cell shown) = -26.6
- total magnetic moment (μB per formula unit) = 0.00
- D(E_F) (states/eV per cell) = 7.04
- E above lowest polymorph (meV/atom) = 723.6

***

(11)
Below is a geometry-optimized CaMnPS2 structure, with properties calculated at the PBE-GGA level.

a b c (Å): 5.131 5.131 5.197
angles (deg): 90.00 90.00 90.00
Last column: magnetic moment on the atom in μB.
Atoms (fractional coordinates):
1 Mn 0.500 0.500 0.500  -4.53
2 S 0.500 0.000 0.000  0.17
3 P 0.000 0.000 0.500  0.27
4 S 0.000 0.500 0.000  0.17
5 Ca 0.000 0.000 0.000  0.00

Computed properties:
- formation energy from raw total energies (kJ/mol of formula units) = 307.7
- total energy (eV for the cell shown) = -21.6
- total magnetic moment (μB per formula unit) = 3.82
- D(E_F) (states/eV per cell) = 5.59
- E above lowest polymorph (meV/atom) = 1213.9

***

(12)
Below is a geometry-optimized PaBeSn structure, with properties calculated at the PBE-GGA level.

a b c (Å): 3.207 3.207 6.279
angles (deg): 104.79 104.79 90.00
Atoms (fractional coordinates):
1 Sn 0.974 0.974 0.947
2 Pa 0.685 0.685 0.370
3 Be 0.341 0.341 0.683

Computed properties:
- energy of formation (eV per atom) = 0.205
- total energy (eV for the cell shown) = -16.6
- total magnetic moment (μB per formula unit) = 0.00
- D(E_F) (states/eV per cell) = 3.84
- E above lowest polymorph (meV/atom) = 282.2

***

> Which value of total energy does entry 10 give?

-26.6 eV for the cell shown

***

> Which of these has the highest total magnetic moment?

Eu2HgPt